Entry 1:
Mg2ZnCrN4, optimized geometry, DFT PBE; symmetry = I-42m (121); energy relative to the elements, uncorrected = -0.51 eV per atom
1.0
4.610 0.191 0.000
-0.192 4.610 0.000
-2.209 -2.401 4.544
Zn Mg N Cr
1 2 4 1
Direct
0.000 0.000 0.000
0.250 0.750 0.500
0.750 0.250 0.500
0.832 0.390 0.222
0.168 0.168 0.778
0.610 0.610 0.778
0.390 0.832 0.222
0.500 0.500 0.000

***

Entry 2:
Mg3Zr2CrN6, optimized geometry, DFT PBE; symmetry = C2/m (12); energy relative to the elements, uncorrected = -1.04 eV per atom; N(E_F) = 4.6 states/eV/f.u.
1.0
3.163 0.000 0.000
0.000 6.260 0.210
-1.581 -1.821 6.595
N Mg Cr Zr
6 3 1 2
Direct
0.342 0.922 0.683
0.000 0.225 0.000
0.000 0.775 0.000
0.334 0.421 0.667
0.658 0.078 0.317
0.666 0.579 0.333
0.838 0.169 0.676
0.162 0.831 0.324
0.500 0.500 0.000
0.500 0.000 0.000
0.163 0.322 0.325
0.837 0.678 0.675

***

Entry 3:
NaMgCr2, optimized geometry, DFT PBE; symmetry = I-42d (122); ΔH_f (0 K) = 116 kJ/mol of atoms; N(E_F) = 3.6 states/eV/f.u.
1.0
3.611 0.000 0.000
0.000 3.611 0.000
1.806 1.806 10.260
Cr Na Mg
4 2 2
Direct
0.875 0.928 0.750
0.375 0.322 0.750
0.072 0.625 0.250
0.678 0.125 0.250
0.500 0.500 0.000
0.250 0.750 0.500
0.000 0.000 0.000
0.750 0.250 0.500

***

Entry 4:
Na3MgCr, optimized geometry, DFT PBE; symmetry = Pm-3m (221); energy above the lowest structure with this stoichiometry = 0 meV per atom; ΔH_f (0 K) = 76 kJ/mol of atoms; N(E_F) = 3.0 states/eV/f.u.
1.0
-5.170 1.735 -1.898
-2.463 -2.112 4.776
0.741 5.086 2.631
Mg Cr Na
1 1 3
Direct
0.500 0.500 0.500
0.000 0.000 0.000
0.500 0.000 0.000
0.000 0.500 0.000
0.000 0.000 0.500